A geometry-optimized Cd2CoNO structure. Source: the Alexandria database, functional PBE with a Hubbard U.

Properties
- Polymorph energy (0 for the lowest one): 0.000 eV per atom

Cell and atoms, written as extended XYZ:
```
5
Lattice="4.6299 0.0000 0.0000 0.0000 4.6299 0.0000 0.0000 0.0000 3.3935" Properties=species:S:1:pos:R:3 pbc="T T T"
Cd 0.0000 2.3149 0.0000
Cd 2.3149 0.0000 0.0000
Co 0.0000 0.0000 1.6968
N 0.0000 0.0000 0.0000
O 2.3149 2.3149 1.6968
```